Record 1
Entry from Alexandria via LeMat-Bulk: a relaxed structure of PrPd5Au4 (GGA-PBE).

Energy of formation from the pure elements in eV/atom: -0.301
Theoretical density in g/cm³: 12.7

Structure (extended XYZ):
```
20
Lattice="4.755 0.000 0.000 0.000 9.772 0.000 0.000 0.000 8.211" Properties=species:S:1:pos:R:3 pbc="T T T"
Au 1.164 3.015 0.000
Au 1.164 6.758 0.000
Au 3.591 1.871 4.105
Pd 3.551 7.239 6.824
Au 3.591 7.901 4.105
Pd 3.551 7.239 1.386
Pr 2.777 4.886 4.105
Pr 1.978 0.000 0.000
Au 0.406 4.886 2.057
Pd 1.204 2.353 2.719
Pd 1.204 7.419 5.492
Au 4.349 0.000 2.048
Pd 1.204 2.353 5.492
Pd 1.204 7.419 2.719
Au 0.406 4.886 6.153
Au 4.349 0.000 6.163
Pd 3.246 4.886 0.000
Pd 3.551 2.533 6.824
Pd 3.551 2.533 1.386
Pd 1.509 0.000 4.105
```

Record 2
Entry from Alexandria via LeMat-Bulk: a relaxed structure of Pr2Pd5Au4 (GGA-PBE).

Energy of formation from the pure elements in eV/atom: -0.508
Theoretical density in g/cm³: 11.6

Structure (extended XYZ):
```
11
Lattice="-0.462 -4.410 3.375 -2.160 -4.633 -1.749 7.849 -5.007 -0.869" Properties=species:S:1:pos:R:3 pbc="T T T"
Au 4.927 -7.276 0.367
Pd 2.499 -8.128 1.223
Au 0.301 -6.774 0.391
Pd -1.311 -4.522 0.813
Pd -0.231 -2.205 1.688
Pd -1.080 -2.317 -0.874
Pd 2.729 -5.923 -0.465
Pr 5.770 -4.286 -0.211
Au 1.218 -3.705 -0.074
Au 4.010 -10.345 0.832
Pr 1.617 -5.131 2.717
```

Record 3
Entry from Alexandria via LeMat-Bulk: a relaxed structure of Pr3Pd7Au2 (GGA-PBE).

Energy of formation from the pure elements in eV/atom: -0.692
Theoretical density in g/cm³: 10.8

Structure (extended XYZ):
```
12
Lattice="-0.186 1.919 5.184 3.195 -2.267 3.905 7.561 5.776 1.083" Properties=species:S:1:pos:R:3 pbc="T T T"
Pd 7.486 3.125 3.523
Pd 5.778 5.238 4.169
Pr 5.738 2.105 8.278
Pr 4.832 3.324 1.893
Au 2.010 -0.227 6.058
Pd 5.285 2.714 5.086
Pd 3.084 2.304 6.649
Pr 0.000 0.000 0.000
Pd 7.392 4.094 6.141
Pd 4.791 0.190 6.003
Au 8.559 5.656 4.114
Pd 3.178 1.335 4.031
```

Record 4
Entry from Alexandria via LeMat-Bulk: a relaxed structure of PrPdAu2 (GGA-PBE).

Energy of formation from the pure elements in eV/atom: -0.614
Theoretical density in g/cm³: 12.0

Structure (extended XYZ):
```
4
Lattice="-4.457 0.771 -1.227 -3.448 -0.811 3.068 -2.299 4.372 2.150" Properties=species:S:1:pos:R:3 pbc="T T T"
Au -2.522 1.457 1.129
Pr 0.000 0.000 0.000
Au -7.682 2.875 2.862
Pd -5.102 2.166 1.995
```

Record 5
Entry from Alexandria via LeMat-Bulk: a relaxed structure of PrPd4Au6 (GGA-PBE).

Energy of formation from the pure elements in eV/atom: -0.064
Theoretical density in g/cm³: 12.5

Structure (extended XYZ):
```
11
Lattice="7.002 -0.344 -0.505 -3.542 6.049 0.505 -3.542 -1.754 5.812" Properties=species:S:1:pos:R:3 pbc="T T T"
Pd -2.414 3.343 0.874
Au -1.712 2.263 3.328
Au 1.730 2.853 0.000
Pd 0.665 1.619 2.381
Au -4.286 1.374 4.654
Au 3.117 0.787 1.157
Au -4.286 3.823 2.989
Pd -3.003 3.701 5.443
Pd -2.414 -0.416 3.431
Au 1.730 -1.049 2.653
Pr 0.000 0.000 0.000
```

Record 6
Entry from Alexandria via LeMat-Bulk: a relaxed structure of Pr8Pd2Au (GGA-PBE).

Energy of formation from the pure elements in eV/atom: -0.397
Theoretical density in g/cm³: 7.7

Structure (extended XYZ):
```
11
Lattice="5.328 0.000 0.000 0.000 6.969 0.032 -2.664 -2.972 8.930" Properties=species:S:1:pos:R:3 pbc="T T T"
Pr 2.664 2.747 1.675
Pr 2.664 2.783 5.354
Au 2.664 0.000 0.000
Pd 0.000 4.147 3.087
Pr 0.000 1.214 3.608
Pr 0.000 1.250 7.286
Pd 2.664 -0.150 5.874
Pr 2.664 -1.304 8.451
Pr 0.000 4.973 5.842
Pr 0.000 5.301 0.510
Pr 2.664 -0.976 3.119
```

Record 7
Entry from Alexandria via LeMat-Bulk: a relaxed structure of Pr2PdAu6 (GGA-PBE).

Energy of formation from the pure elements in eV/atom: -0.544
Theoretical density in g/cm³: 13.3

Structure (extended XYZ):
```
9
Lattice="-3.350 -0.052 -4.815 -1.762 -5.821 1.288 -3.267 4.800 2.221" Properties=species:S:1:pos:R:3 pbc="T T T"
Au -4.406 0.204 1.777
Au -4.781 -3.947 -2.492
Au -2.100 0.673 0.168
Pr -4.970 1.226 -1.259
Au -6.279 -1.745 -1.473
Pd -1.675 -0.026 -2.408
Au -3.598 2.874 1.186
Au -3.972 -1.277 -3.083
Pr -3.409 -2.298 -0.047
```

Record 8
Entry from Alexandria via LeMat-Bulk: a relaxed structure of PrPdAu2 (GGA-PBE).

Energy of formation from the pure elements in eV/atom: -0.571
Theoretical density in g/cm³: 12.5

Structure (extended XYZ):
```
4
Lattice="-2.042 -2.492 2.152 0.105 -2.580 -2.889 4.837 -2.152 2.097" Properties=species:S:1:pos:R:3 pbc="T T T"
Au 3.565 -1.586 1.546
Pd 1.450 -3.612 0.680
Pr -0.968 -2.536 -0.369
Au 1.272 -0.566 0.551
```

Record 9
Entry from Alexandria via LeMat-Bulk: a relaxed structure of Pr2Pd3Au2 (GGA-PBE).

Energy of formation from the pure elements in eV/atom: -0.311
Theoretical density in g/cm³: 11.0

Structure (extended XYZ):
```
14
Lattice="7.309 0.000 0.000 -2.436 6.891 0.000 -2.436 -3.446 5.968" Properties=species:S:1:pos:R:3 pbc="T T T"
Pr -2.117 2.175 3.768
Pd -1.115 5.957 1.365
Au 1.317 1.444 2.984
Pd 1.115 1.796 5.841
Pd 1.115 -1.008 4.476
Pr 1.477 3.446 0.000
Au 3.753 0.139 0.241
Pd 3.551 2.658 1.619
Pr 0.320 4.264 2.984
Au -1.120 -1.583 2.743
Au 5.796 3.446 0.000
Pd 3.758 -0.073 3.111
Pr -2.117 -2.993 5.185
Pd -1.115 1.008 1.492
```

Record 10
Entry from Alexandria via LeMat-Bulk: a relaxed structure of Pr5Pd2Au (GGA-PBE).

Energy of formation from the pure elements in eV/atom: -0.562
Theoretical density in g/cm³: 8.3

Structure (extended XYZ):
```
16
Lattice="7.391 0.000 -3.489 -1.647 7.205 -3.489 -0.356 -0.446 8.819" Properties=species:S:1:pos:R:3 pbc="T T T"
Pr 2.872 3.602 -3.489
Pd 1.317 6.288 -4.345
Pr 2.946 2.078 -0.215
Pr 1.147 -0.179 5.546
Pr 0.000 0.000 0.000
Pd 5.417 4.520 -5.233
Pr 4.241 6.938 -3.704
Pr 0.833 5.680 -1.351
Au 4.130 5.181 -0.824
Pr 4.555 1.078 3.193
Au 1.258 1.578 2.665
Pr 2.442 4.681 2.057
Pd 4.427 0.917 -2.633
Pr -0.966 3.423 4.410
Pr 6.354 3.335 -2.569
Pd 0.327 2.685 -1.744
```

Record 11
Entry from Alexandria via LeMat-Bulk: a relaxed structure of Pr2Pd9Au6 (GGA-PBE).

Energy of formation from the pure elements in eV/atom: -0.315
Theoretical density in g/cm³: 11.4

Structure (extended XYZ):
```
17
Lattice="5.457 0.000 0.000 -2.729 4.726 0.000 0.000 0.000 13.678" Properties=species:S:1:pos:R:3 pbc="T T T"
Au 0.000 3.151 4.571
Pd -1.364 2.363 6.839
Pd 1.364 2.363 6.839
Au 2.729 1.575 9.107
Au 2.729 1.575 0.000
Au 0.000 3.151 0.000
Pr 0.000 0.000 3.988
Pd -1.364 2.363 11.400
Pd 2.729 0.000 11.400
Pd 2.729 0.000 6.839
Pd 2.729 0.000 2.278
Pd 1.364 2.363 11.400
Pd -1.364 2.363 2.278
Au 2.729 1.575 4.571
Au 0.000 3.151 9.107
Pr 0.000 0.000 9.690
Pd 1.364 2.363 2.278
```

Record 12
Entry from Alexandria via LeMat-Bulk: a relaxed structure of Pr8Pd2Au (GGA-PBE).

Energy of formation from the pure elements in eV/atom: -0.291
Theoretical density in g/cm³: 7.3

Structure (extended XYZ):
```
11
Lattice="-6.080 0.933 0.216 0.305 -6.247 -5.250 1.450 -1.817 7.828" Properties=species:S:1:pos:R:3 pbc="T T T"
Pr -5.444 -4.361 -2.222
Pr -3.755 -4.363 1.807
Pr -3.039 -0.687 2.367
Pr -0.396 -2.891 1.014
Pr -3.330 -1.815 -0.963
Pr -0.745 -5.395 3.751
Pd -1.859 -2.720 4.024
Pd -2.317 -4.494 -1.215
Pr -1.035 -6.517 0.439
Pr -4.793 -1.841 5.218
Au -0.929 0.079 0.055
```

Record 13
Entry from Alexandria via LeMat-Bulk: a relaxed structure of Pr4Pd2Au5 (GGA-PBE).

Energy of formation from the pure elements in eV/atom: -0.758
Theoretical density in g/cm³: 11.0

Structure (extended XYZ):
```
11
Lattice="-1.361 3.544 -0.911 -6.759 -3.068 -1.839 -2.442 1.251 8.518" Properties=species:S:1:pos:R:3 pbc="T T T"
Au -4.579 -0.524 4.804
Pr -6.354 -0.478 -0.735
Pr -4.208 2.206 6.503
Au -1.316 -0.296 0.814
Pr -3.359 1.507 2.517
Pd -2.056 0.571 5.294
Pd -7.144 -2.387 1.385
Au -7.885 -1.520 5.865
Au -3.379 -1.534 -0.920
Pr -7.202 0.220 3.251
Au -4.622 -1.293 1.875
```

Record 14
Entry from Alexandria via LeMat-Bulk: a relaxed structure of Pr4Pd12Au (GGA-PBE).

Energy of formation from the pure elements in eV/atom: -0.719
Theoretical density in g/cm³: 10.3

Structure (extended XYZ):
```
17
Lattice="-1.898 6.528 3.251 -4.532 -1.288 -5.881 -0.716 -5.596 4.996" Properties=species:S:1:pos:R:3 pbc="T T T"
Pd -4.527 0.899 -1.536
Pd -3.868 2.853 0.747
Pr -0.949 3.264 1.625
Pd -4.231 -2.132 -1.100
Pd -3.277 -3.209 1.619
Au 0.000 0.000 0.000
Pd -0.797 0.284 2.516
Pr -0.358 -2.798 2.498
Pd -4.468 3.641 -1.827
Pr -2.266 -0.644 -2.940
Pd -1.816 0.648 5.731
Pd -3.647 -4.784 -0.615
Pd -1.962 1.598 -0.802
Pd -2.914 1.776 3.466
Pd -1.601 -2.100 -0.270
Pr -3.573 -0.178 1.183
Pd -2.619 -1.255 3.902
```

Record 15
Entry from Alexandria via LeMat-Bulk: a relaxed structure of Pr4PdAu (GGA-PBE).

Energy of formation from the pure elements in eV/atom: -0.288
Theoretical density in g/cm³: 6.7

Structure (extended XYZ):
```
12
Lattice="-7.728 -1.595 2.449 5.622 -5.664 2.140 2.236 7.057 3.670" Properties=species:S:1:pos:R:3 pbc="T T T"
Pr -1.109 1.022 1.255
Pr -4.851 0.577 3.093
Pr 2.299 2.400 4.701
Pr 1.851 -1.332 2.850
Pr -1.731 1.130 5.400
Au -2.746 2.730 3.060
Au -1.580 -5.445 3.442
Pd 3.928 0.694 2.907
Pr 4.992 -0.775 5.173
Pr -4.420 4.315 4.944
Pd -0.527 -1.817 1.149
Pr -2.132 -2.473 3.477
```

Record 16
Entry from Alexandria via LeMat-Bulk: a relaxed structure of PrPd8Au3 (GGA-PBE).

Energy of formation from the pure elements in eV/atom: -0.203
Theoretical density in g/cm³: 12.3

Structure (extended XYZ):
```
12
Lattice="-3.466 3.828 -1.263 1.234 -3.749 -3.561 -6.537 -4.947 2.944" Properties=species:S:1:pos:R:3 pbc="T T T"
Au -2.293 1.005 -1.852
Pd -1.777 -1.824 -0.652
Pd -6.055 -3.663 -0.187
Pd -6.854 -6.159 0.142
Pr -3.695 -2.796 1.664
Pd -1.152 -3.724 -2.457
Pd -7.755 -1.785 -0.807
Pd -2.908 -1.784 -3.097
Au -4.666 -0.792 -0.783
Pd -3.590 -3.689 -1.328
Pd -6.660 -1.824 1.560
Au -6.244 -4.726 2.812
```

Record 17
Entry from Alexandria via LeMat-Bulk: a relaxed structure of PrPd2Au4 (GGA-PBE).

Energy of formation from the pure elements in eV/atom: 0.076
Theoretical density in g/cm³: 10.2

Structure (extended XYZ):
```
7
Lattice="-5.484 0.543 3.451 5.236 -3.804 0.621 2.702 5.742 1.414" Properties=species:S:1:pos:R:3 pbc="T T T"
Pd -1.453 2.327 3.450
Pr 0.000 0.000 0.000
Au -0.755 -0.205 3.139
Au 1.676 -1.191 2.498
Au 0.778 3.672 2.989
Au 3.209 2.686 2.347
Pd 3.907 0.154 2.036
```

Record 18
Entry from Alexandria via LeMat-Bulk: a relaxed structure of PrPd4Au8 (GGA-PBE).

Energy of formation from the pure elements in eV/atom: -0.288
Theoretical density in g/cm³: 14.6

Structure (extended XYZ):
```
13
Lattice="5.623 0.000 0.000 2.811 6.589 0.000 2.811 0.000 6.589" Properties=species:S:1:pos:R:3 pbc="T T T"
Pd 1.406 0.000 3.294
Pd 1.406 3.294 0.000
Au 8.434 5.156 5.156
Au 2.811 2.238 4.351
Au 2.811 4.351 2.238
Au 5.623 1.433 5.156
Au 2.811 1.433 1.433
Au 5.623 4.351 4.351
Au 5.623 5.156 1.433
Pd 4.217 0.000 3.294
Pr 0.000 0.000 0.000
Pd 4.217 3.294 0.000
Au 5.623 2.238 2.238
```

Record 19
Entry from Alexandria via LeMat-Bulk: a relaxed structure of Pr3Pd5Au (GGA-PBE).

Energy of formation from the pure elements in eV/atom: -0.468
Theoretical density in g/cm³: 9.2

Structure (extended XYZ):
```
18
Lattice="8.639 0.000 0.000 0.000 8.639 0.000 -4.319 -4.319 5.588" Properties=species:S:1:pos:R:3 pbc="T T T"
Pd -1.671 -2.648 4.027
Pd 1.671 5.990 1.561
Pr 1.119 3.200 0.000
Pd 5.990 6.968 1.561
Pd 6.968 2.648 1.561
Pd 2.648 1.671 1.561
Pr 3.200 7.519 0.000
Pr 5.439 1.119 0.000
Pd 4.319 4.319 0.000
Pd 1.671 2.648 4.027
Pr 0.000 0.000 2.794
Pr 7.519 5.439 0.000
Pd -2.648 1.671 4.027
Au 4.319 0.000 2.794
Au 0.000 4.319 2.794
Pd 2.648 -1.671 4.027
Pd 0.000 0.000 0.000
Pr 4.319 4.319 2.794
```

Record 20
Entry from Alexandria via LeMat-Bulk: a relaxed structure of PrPd2Au3 (GGA-PBE).

Energy of formation from the pure elements in eV/atom: -0.481
Theoretical density in g/cm³: 12.9

Structure (extended XYZ):
```
12
Lattice="-0.373 -4.072 3.830 6.263 1.080 1.758 -2.060 4.391 4.467" Properties=species:S:1:pos:R:3 pbc="T T T"
Au 4.104 4.446 7.174
Au 4.392 2.496 5.130
Au 2.174 -2.185 4.035
Au -0.562 -1.097 4.926
Au 1.656 3.584 6.020
Au -0.274 -3.046 2.881
Pd -0.076 1.492 5.676
Pr 2.525 0.597 7.026
Pd 0.110 3.528 3.761
Pd 4.093 1.943 2.464
Pr 1.305 0.802 3.029
Pd 3.907 -0.092 4.379
```